An optimized crystal structure of Tc2WBr, computed with PBE.

For the total energy, the calculation gives -8.3841 eV per atom.

The space group is P4/mmm (No. 123) and the conventional cell measures 3.103, 3.103 and 6.882 Å, with angles of 90.00, 90.00 and 90.00 degrees. The asymmetric unit holds Tc at (0.000, 0.000, 0.221), W at (0.500, 0.500, 0.000) and Br at (0.500, 0.500, 0.500).